Pm2NdY3Bi6: optimized geometry, PBE-GGA.

Summary:
calculated formation energy: -0.919 eV per atom
DOS(E_F): 0.186 states/eV/atom
space group: No. 12
energy: -5.66 eV per atom

a b c (Å): 7.8639 7.8639 7.8479
angles (deg): 99.61 99.61 120.00
Element x y z (fractional)
Pm (0.1667, 0.8333, 0.0000)
Pm (0.8333, 0.1667, 0.0000)
Nd (0.5000, 0.5000, 0.0000)
Y (0.0000, 0.0000, 0.5000)
Y (0.3337, 0.6663, 0.5000)
Y (0.6663, 0.3337, 0.5000)
Bi (0.0800, 0.4144, 0.7431)
Bi (0.2511, 0.2511, 0.2566)
Bi (0.4144, 0.0800, 0.7431)
Bi (0.5856, 0.9200, 0.2569)
Bi (0.7489, 0.7489, 0.7434)
Bi (0.9200, 0.5856, 0.2569)